A plane-wave DFT calculation with GGA-PBE was carried out for an optimized crystal structure of NiPtW.

abc: 4.3818 4.7567 8.1727
angles: 90.00 90.00 90.00
Closest atoms and distances in Å follow each position.
Element x y z (fractional)
Ni: 0.7500 0.8271 0.8271  5 Pt 2.69-2.80, 2 Ni 2.69, 5 W 2.70-2.72
Ni: 0.2500 0.1729 0.1729  5 Pt 2.69-2.80, 2 Ni 2.69, 5 W 2.70-2.72
Ni: 0.7500 0.3271 0.6729  5 Pt 2.69-2.80, 2 Ni 2.69, 5 W 2.70-2.72
Ni: 0.2500 0.6729 0.3271  5 Pt 2.69-2.80, 2 Ni 2.69, 5 W 2.70-2.72
Pt: 0.2500 0.6787 0.9980  5 W 2.65-2.77, 5 Ni 2.69-2.80, 2 Pt 2.77
Pt: 0.7500 0.3213 0.0020  5 W 2.65-2.77, 5 Ni 2.69-2.80, 2 Pt 2.77
Pt: 0.7500 0.8213 0.4980  5 W 2.65-2.77, 5 Ni 2.69-2.80, 2 Pt 2.77
Pt: 0.2500 0.1787 0.5020  5 W 2.65-2.77, 5 Ni 2.69-2.80, 2 Pt 2.77
W: 0.7500 0.8337 0.1592  5 Pt 2.65-2.77, 5 Ni 2.70-2.72, 2 W 2.80
W: 0.2500 0.1663 0.8408  5 Pt 2.65-2.77, 5 Ni 2.70-2.72, 2 W 2.80
W: 0.2500 0.6663 0.6592  5 Pt 2.65-2.77, 5 Ni 2.70-2.72, 2 W 2.80
W: 0.7500 0.3337 0.3408  5 Pt 2.65-2.77, 5 Ni 2.70-2.72, 2 W 2.80

Properties
Space group: Pnma, No. 62
Polymorph energy (0 for the lowest one): 79 meV per atom
Crystal system: orthorhombic

---

A plane-wave DFT calculation with GGA-PBE was carried out for an optimized crystal structure of Mg2InAs.

abc: 4.9982 4.9982 4.9982
angles: 60.00 60.00 60.00
Closest atoms and distances in Å follow each position.
Element x y z (fractional)
Mg: 0.2500 0.2500 0.2500  4 In 3.06, 4 As 3.06
Mg: 0.7500 0.7500 0.7500  4 In 3.06, 4 As 3.06
In: 0.5000 0.5000 0.5000  8 Mg 3.06
As: 0.0000 0.0000 0.0000  8 Mg 3.06

Properties
Space group: Fm-3m, No. 225
Polymorph energy (0 for the lowest one): 175 meV per atom
Crystal system: cubic

---

A plane-wave DFT calculation with GGA-PBE was carried out for an optimized crystal structure of RbVP2S.

abc: 5.2100 5.2100 5.3724
angles: 90.00 90.00 90.00
Closest atoms and distances in Å follow each position.
Element x y z (fractional)
S: 0.0000 0.0000 0.5000  2 Rb 2.69
Rb: 0.0000 0.0000 0.0000  4 P 2.61, 2 S 2.69
P: 0.0000 0.5000 0.0000  2 Rb 2.61
P: 0.5000 0.0000 0.0000  2 Rb 2.61
V: 0.5000 0.5000 0.5000  4 S 3.68, 8 P 3.74

Properties
Space group: P4/mmm, No. 123
Energy relative to the elements, uncorrected: 11.59 eV per formula unit
Polymorph energy (0 for the lowest one): 2489 meV per atom
Crystal system: tetragonal

---

A plane-wave DFT calculation with GGA-PBE was carried out for an optimized crystal structure of TiCu3P.

abc: 4.2855 4.2855 4.2855
angles: 90.00 90.00 90.00
Closest atoms and distances in Å follow each position.
Element x y z (fractional)
Cu: 0.0000 0.5000 0.0000  2 P 2.14
Cu: 0.5000 0.0000 0.0000  2 P 2.14
Cu: 0.0000 0.0000 0.5000  2 P 2.14
Ti: 0.5000 0.5000 0.5000  12 Cu 3.03
P: 0.0000 0.0000 0.0000  6 Cu 2.14

Properties
Space group: Pm-3m, No. 221
Polymorph energy (0 for the lowest one): 0 meV per atom
Crystal system: cubic

---

A plane-wave DFT calculation with GGA-PBE was carried out for an optimized crystal structure of Te2SeBrN.

abc: 6.0065 6.0065 3.6025
angles: 90.00 90.00 90.00
Closest atoms and distances in Å follow each position.
Element x y z (fractional)
Br: 0.5000 0.5000 0.5000  8 Te 3.50, 2 Br 3.60
Te: 0.0000 0.5000 0.0000  2 Se 3.00
Te: 0.5000 0.0000 0.0000  2 Se 3.00
Se: 0.0000 0.0000 0.0000  2 N 1.80
N: 0.0000 0.0000 0.5000  2 Se 1.80

Properties
Space group: P4/mmm, No. 123
Energy relative to the elements, uncorrected: 4.87 eV per formula unit
Polymorph energy (0 for the lowest one): 0 meV per atom
Crystal system: tetragonal

---

A plane-wave DFT calculation with GGA-PBE was carried out for an optimized crystal structure of SiAuICl2.

abc: 5.2074 5.9655 5.2074
angles: 90.00 90.00 90.00
Closest atoms and distances in Å follow each position.
Element x y z (fractional)
Si: 0.0000 0.5000 0.0000  2 I 2.98
Cl: 0.0000 0.0000 0.5000  2 I 2.60
Cl: 0.5000 0.0000 0.0000  2 I 2.60
Au: 0.5000 0.5000 0.5000  4 Si 3.68, 8 Cl 3.96
I: 0.0000 0.0000 0.0000  4 Cl 2.60

Properties
Space group: P4/mmm, No. 123
Energy relative to the elements, uncorrected: 4.30 eV per formula unit
Crystal system: tetragonal

---

A plane-wave DFT calculation with GGA-PBE was carried out for an optimized crystal structure of HoLuC.

abc: 3.1303 3.1303 6.3075
angles: 104.37 104.37 90.00
Closest atoms and distances in Å follow each position.
Element x y z (fractional)
C: 0.3318 0.3318 0.6636  4 Lu 2.59, 4 Ho 2.62
Lu: 0.7184 0.7184 0.4367  4 C 2.59, 1 Ho 2.73
Ho: 0.9498 0.9498 0.8996  4 C 2.62, 1 Lu 2.73

Properties
Space group: I4mm, No. 107
Polymorph energy (0 for the lowest one): 542 meV per atom
Crystal system: tetragonal

---

A plane-wave DFT calculation with GGA-PBE was carried out for an optimized crystal structure of Zr3TaN4.

abc: 3.2292 3.2292 10.6936
angles: 81.32 81.32 60.00
Closest atoms and distances in Å follow each position.
Element x y z (fractional)
Zr: 0.7483 0.7483 0.7552  6 N 2.30-2.31
Zr: 0.2517 0.2517 0.2448  6 N 2.30-2.31
Zr: 0.5000 0.5000 0.5000  6 N 2.30
N: 0.6284 0.6284 0.1147  3 Ta 2.22, 3 Zr 2.31
N: 0.8760 0.8760 0.3721  6 Zr 2.30
N: 0.3716 0.3716 0.8853  3 Ta 2.22, 3 Zr 2.31
N: 0.1240 0.1240 0.6279  6 Zr 2.30
Ta: 0.0000 0.0000 0.0000  6 N 2.22

Properties
Space group: R-3m, No. 166
Energy relative to the elements, uncorrected: -11.91 eV per formula unit
Polymorph energy (0 for the lowest one): 0 meV per atom
Crystal system: trigonal

---

A plane-wave DFT calculation with GGA-PBE was carried out for an optimized crystal structure of LaIrSe2Br.

abc: 4.9957 4.9587 4.9957
angles: 90.00 90.00 90.00
Closest atoms and distances in Å follow each position.
Element x y z (fractional)
Se: 0.5000 0.0000 0.0000  2 Ir 2.50
Se: 0.0000 0.0000 0.5000  2 Ir 2.50
Ir: 0.0000 0.0000 0.0000  2 Br 2.48, 4 Se 2.50
Br: 0.0000 0.5000 0.0000  2 Ir 2.48
La: 0.5000 0.5000 0.5000  8 Se 3.52, 4 Br 3.53

Properties
Space group: P4/mmm, No. 123
Energy relative to the elements, uncorrected: -3.07 eV per formula unit
Polymorph energy (0 for the lowest one): 0 meV per atom
Crystal system: tetragonal

---

A plane-wave DFT calculation with GGA-PBE was carried out for an optimized crystal structure of Ca3InTe4.

abc: 6.2745 9.4483 10.8270
angles: 90.00 90.00 90.00
Closest atoms and distances in Å follow each position.
Element x y z (fractional)
Ca: 0.0645 0.6659 0.2481  5 Te 3.13-3.15
Ca: 0.5644 0.8351 0.0000  5 Te 3.13-3.15
Ca: 0.5645 0.3341 0.2519  5 Te 3.13-3.15
Ca: 0.5645 0.3341 0.7481  5 Te 3.13-3.15
Ca: 0.0644 0.1649 0.5000  5 Te 3.13-3.15
Ca: 0.0645 0.6659 0.7519  5 Te 3.13-3.15
Te: 0.0644 0.3345 0.7484  4 Ca 3.13-3.14, 1 In 3.14
Te: 0.5643 0.1680 0.0000  2 In 3.14, 3 Ca 3.15
Te: 0.0644 0.3345 0.2516  4 Ca 3.13-3.14, 1 In 3.14
Te: 0.5644 0.1636 0.5000  4 Ca 3.13-3.14, 1 In 3.14
Te: 0.5644 0.6655 0.2484  4 Ca 3.13-3.14, 1 In 3.14
Te: 0.0643 0.8320 0.5000  2 In 3.14, 3 Ca 3.15
Te: 0.0644 0.8364 0.0000  4 Ca 3.13-3.14, 1 In 3.14
Te: 0.5644 0.6655 0.7516  4 Ca 3.13-3.14, 1 In 3.14
In: 0.0645 0.1690 0.0000  5 Te 3.14
In: 0.5645 0.8310 0.5000  5 Te 3.14

Properties
Space group: Pmmn, No. 59
Energy relative to the elements, uncorrected: -9.38 eV per formula unit
Crystal system: orthorhombic

---

A plane-wave DFT calculation with GGA-PBE was carried out for an optimized crystal structure of PmLu2Mg.

abc: 3.5669 3.5669 9.1608
angles: 90.00 90.00 90.00
Closest atoms and distances in Å follow each position.
Element x y z (fractional)
Pm: 0.5000 0.5000 0.5000  8 Lu 3.54, 4 Pm 3.57
Mg: 0.5000 0.5000 0.0000  8 Lu 3.28, 4 Mg 3.57
Lu: 0.0000 0.0000 0.7709  4 Mg 3.28, 4 Pm 3.54, 4 Lu 3.57
Lu: 0.0000 0.0000 0.2291  4 Mg 3.28, 4 Pm 3.54, 4 Lu 3.57

Properties
Space group: P4/mmm, No. 123
Polymorph energy (0 for the lowest one): 0 meV per atom
Crystal system: tetragonal

---

A plane-wave DFT calculation with GGA-PBE was carried out for an optimized crystal structure of K2UPtO6.

abc: 5.8331 5.8331 5.8338
angles: 120.00 120.00 90.00
Closest atoms and distances in Å follow each position.
Element x y z (fractional)
O: 0.2472 0.2477 0.4945  1 Pt 2.04, 1 U 2.08
O: 0.7528 0.2475 0.9997  1 Pt 2.04, 1 U 2.09
O: 0.2470 0.7532 0.9998  1 Pt 2.04, 1 U 2.09
O: 0.7527 0.7532 0.9998  1 Pt 2.04, 1 U 2.09
O: 0.7526 0.7530 0.5051  1 Pt 2.04, 1 U 2.08
O: 0.2471 0.2476 0.9998  1 Pt 2.04, 1 U 2.09
U: 0.4999 0.5004 0.9998  6 O 2.08-2.09
K: 0.2500 0.7504 0.4999  12 O 2.92
K: 0.7499 0.2505 0.4999  12 O 2.92
Pt: 0.9999 0.0004 0.9998  6 O 2.04

Properties
Space group: Fm-3m, No. 225
Energy relative to the elements, uncorrected: -20.03 eV per formula unit
Crystal system: cubic